1.
VASP calculation (PBE) on an optimized crystal structure of TbNdGdTl.

Geometry as CIF:
```
data_TbNdGdTl
_chemical_formula_sum 'Tb4 Nd4 Gd4 Tl4'
_symmetry_space_group_name_H-M 'F -4 3 m'
_symmetry_Int_Tables_number 216
_symmetry_space_group_name_Hall 'F -4 2 3'
_cell_length_a 7.845
_cell_length_b 7.845
_cell_length_c 7.845
_cell_angle_alpha 90.00
_cell_angle_beta 90.00
_cell_angle_gamma 90.00
loop_
_atom_site_label
_atom_site_fract_x
_atom_site_fract_y
_atom_site_fract_z
Tb1 0.000 0.000 0.000
Nd1 0.250 0.250 0.250
Gd1 0.250 0.250 0.750
Tl1 0.000 0.000 0.500
```

**E_form**: -0.070 eV per atom
**Density**: 9146 kg/m³
**Electronic total energy**: -104.50 eV per cell
**Total moment**: 34.32 Bohr magnetons per cell

---

2.
VASP calculation (PBE) on an optimized crystal structure of Pm2Nd5Pb4.

Geometry as CIF:
```
data_Pm2Nd5Pb4
_chemical_formula_sum 'Pm4 Nd10 Pb8'
_symmetry_space_group_name_H-M 'C 1 2/m 1'
_symmetry_Int_Tables_number 12
_symmetry_space_group_name_Hall '-C 2y'
_cell_length_a 17.119
_cell_length_b 3.517
_cell_length_c 12.504
_cell_angle_alpha 90.00
_cell_angle_beta 90.64
_cell_angle_gamma 90.00
loop_
_atom_site_label
_atom_site_fract_x
_atom_site_fract_y
_atom_site_fract_z
Pm1 0.094 0.000 0.058
Nd1 0.000 0.000 0.500
Nd2 0.059 0.000 0.767
Nd3 0.138 0.500 0.317
Pb1 0.184 0.000 0.561
Pb2 0.236 0.000 0.885
```

**E_form**: -0.078 eV per atom
**Density**: 8118 kg/m³
**Electronic total energy**: -98.07 eV per cell
**Total moment**: 0.00 Bohr magnetons per cell

---

3.
VASP calculation (PBE) on an optimized crystal structure of Zr3Al3Cu2.

Geometry as CIF:
```
data_Zr3Al3Cu2
_chemical_formula_sum 'Zr3 Al3 Cu2'
_symmetry_space_group_name_H-M 'P -6 2 m'
_symmetry_Int_Tables_number 189
_symmetry_space_group_name_Hall 'P -6 -2'
_cell_length_a 7.0305
_cell_length_b 7.0305
_cell_length_c 3.3596
_cell_angle_alpha 90.00
_cell_angle_beta 90.00
_cell_angle_gamma 120.00
loop_
_atom_site_label
_atom_site_fract_x
_atom_site_fract_y
_atom_site_fract_z
Zr1 0.0000 0.4021 0.0000
Al1 0.0000 0.7639 0.5000
Cu1 0.3333 0.6667 0.5000
```

**E_form**: -0.340 eV per atom
**Density**: 5562 kg/m³
**Relative energy among the computed polymorphs**: 0.000 eV per atom
**Electronic total energy**: -47.78 eV per cell
**Total moment**: 0.00 Bohr magnetons per cell

---

4.
VASP calculation (PBE) on an optimized crystal structure of MnZnCu2.

Geometry as CIF:
```
data_MnZnCu2
_chemical_formula_sum 'Mn4 Zn4 Cu8'
_symmetry_space_group_name_H-M 'I -4 2 d'
_symmetry_Int_Tables_number 122
_symmetry_space_group_name_Hall 'I -4 2bw'
_cell_length_a 3.587
_cell_length_b 3.587
_cell_length_c 17.712
_cell_angle_alpha 90.00
_cell_angle_beta 90.00
_cell_angle_gamma 90.00
loop_
_atom_site_label
_atom_site_fract_x
_atom_site_fract_y
_atom_site_fract_z
Mn1 0.000 0.000 0.000
Zn1 0.000 0.000 0.500
Cu1 0.244 0.250 0.625
```

**E_form**: 0.340 eV per atom
**Density**: 7212 kg/m³
**Electronic total energy**: -69.10 eV per cell
**Total moment**: 14.13 Bohr magnetons per cell

---

5.
VASP calculation (PBE) on an optimized crystal structure of Mg5Hg6Au.

Geometry as CIF:
```
data_Mg5Hg6Au
_chemical_formula_sum 'Mg10 Hg12 Au2'
_symmetry_space_group_name_H-M 'C 1 2/m 1'
_symmetry_Int_Tables_number 12
_symmetry_space_group_name_Hall '-C 2y'
_cell_length_a 8.754
_cell_length_b 14.466
_cell_length_c 4.719
_cell_angle_alpha 90.00
_cell_angle_beta 121.98
_cell_angle_gamma 90.00
loop_
_atom_site_label
_atom_site_fract_x
_atom_site_fract_y
_atom_site_fract_z
Mg1 0.000 0.000 0.000
Mg2 0.000 0.169 0.500
Mg3 0.000 0.348 0.000
Hg1 0.237 0.000 0.734
Hg2 0.243 0.170 0.243
Au1 0.000 0.500 0.500
```

**E_form**: -0.188 eV per atom
**Density**: 9973 kg/m³
**Electronic total energy**: -30.64 eV per cell
**Total moment**: 0.00 Bohr magnetons per cell

---

6.
VASP calculation (PBE) on an optimized crystal structure of ScCoOs2.

Geometry as CIF:
```
data_ScCoOs2
_chemical_formula_sum 'Sc4 Co4 Os8'
_symmetry_space_group_name_H-M 'F -4 3 m'
_symmetry_Int_Tables_number 216
_symmetry_space_group_name_Hall 'F -4 2 3'
_cell_length_a 6.180
_cell_length_b 6.180
_cell_length_c 6.180
_cell_angle_alpha 90.00
_cell_angle_beta 90.00
_cell_angle_gamma 90.00
loop_
_atom_site_label
_atom_site_fract_x
_atom_site_fract_y
_atom_site_fract_z
Sc1 0.000 0.000 0.000
Co1 0.250 0.250 0.250
Os1 0.000 0.000 0.500
Os2 0.250 0.250 0.750
```

**E_form**: 0.078 eV per atom
**Density**: 13628 kg/m³
**Relative energy among the computed polymorphs**: 0.123 eV per atom
**Electronic total energy**: -142.34 eV per cell
**Total moment**: 7.86 Bohr magnetons per cell

---

7.
VASP calculation (PBE) on an optimized crystal structure of Na2Tl8Pb3.

Geometry as CIF:
```
data_Na2Tl8Pb3
_chemical_formula_sum 'Na2 Tl8 Pb3'
_symmetry_space_group_name_H-M 'P 1 2/m 1'
_symmetry_Int_Tables_number 10
_symmetry_space_group_name_Hall '-P 2y'
_cell_length_a 7.619
_cell_length_b 4.980
_cell_length_c 10.845
_cell_angle_alpha 90.00
_cell_angle_beta 96.09
_cell_angle_gamma 90.00
loop_
_atom_site_label
_atom_site_fract_x
_atom_site_fract_y
_atom_site_fract_z
Na1 0.233 0.000 0.069
Tl1 0.073 0.000 0.349
Tl2 0.086 0.500 0.864
Tl3 0.352 0.000 0.788
Tl4 0.366 0.500 0.271
Pb1 0.214 0.500 0.568
Pb2 0.500 0.000 0.500
```

**E_form**: -0.026 eV per atom
**Density**: 9344 kg/m³
**Relative energy among the computed polymorphs**: 0.000 eV per atom
**Electronic total energy**: -33.03 eV per cell
**Total moment**: 0.00 Bohr magnetons per cell

---

8.
VASP calculation (PBE) on an optimized crystal structure of Sn2BiTe4.

Geometry as CIF:
```
data_Sn2BiTe4
_chemical_formula_sum 'Sn4 Bi2 Te8'
_symmetry_space_group_name_H-M 'I 4/m m m'
_symmetry_Int_Tables_number 139
_symmetry_space_group_name_Hall '-I 4 2'
_cell_length_a 6.090
_cell_length_b 6.090
_cell_length_c 14.886
_cell_angle_alpha 90.00
_cell_angle_beta 90.00
_cell_angle_gamma 90.00
loop_
_atom_site_label
_atom_site_fract_x
_atom_site_fract_y
_atom_site_fract_z
Sn1 0.000 0.000 0.106
Bi1 0.000 0.000 0.500
Te1 0.000 0.000 0.292
Te2 0.000 0.500 0.000
```

**Uncorrected formation energy**: 0.131 eV per atom
**Density**: 5756 kg/m³
**Relative energy among the computed polymorphs**: 0.312 eV per atom
**Electronic total energy**: -47.08 eV per cell
**Total moment**: 0.02 Bohr magnetons per cell

---

9.
VASP calculation (PBE) on an optimized crystal structure of Na6TlF12.

Geometry as CIF:
```
data_Na6TlF12
_chemical_formula_sum 'Na18 Tl3 F36'
_symmetry_space_group_name_H-M 'R -3'
_symmetry_Int_Tables_number 148
_symmetry_space_group_name_Hall '-R 3'
_cell_length_a 10.3086
_cell_length_b 10.3086
_cell_length_c 9.3544
_cell_angle_alpha 90.00
_cell_angle_beta 90.00
_cell_angle_gamma 120.00
loop_
_atom_site_label
_atom_site_fract_x
_atom_site_fract_y
_atom_site_fract_z
Na1 0.0589 0.4747 0.3222
Tl1 0.0000 0.0000 0.0000
F1 0.0408 0.2050 0.8896
F2 0.0838 0.2461 0.3890
```

**Uncorrected formation energy**: -2.114 eV per atom
**Density**: 3300 kg/m³
**Electronic total energy**: -218.72 eV per cell
**Total moment**: 9.10 Bohr magnetons per cell

---

10.
VASP calculation (PBE) on an optimized crystal structure of Zn3Cu6Ge.

Geometry as CIF:
```
data_Zn3Cu6Ge
_chemical_formula_sum 'Zn6 Cu12 Ge2'
_symmetry_space_group_name_H-M 'P 1 21/m 1'
_symmetry_Int_Tables_number 11
_symmetry_space_group_name_Hall '-P 2yb'
_cell_length_a 7.841
_cell_length_b 3.911
_cell_length_c 8.585
_cell_angle_alpha 90.00
_cell_angle_beta 96.91
_cell_angle_gamma 90.00
loop_
_atom_site_label
_atom_site_fract_x
_atom_site_fract_y
_atom_site_fract_z
Zn1 0.044 0.250 0.396
Zn2 0.148 0.750 0.198
Zn3 0.252 0.250 0.997
Cu1 0.052 0.750 0.902
Cu2 0.146 0.250 0.702
Cu3 0.254 0.750 0.497
Cu4 0.347 0.750 0.799
Cu5 0.349 0.250 0.302
Cu6 0.447 0.750 0.090
Ge1 0.445 0.250 0.625
```

**E_form**: -0.033 eV per atom
**Density**: 8261 kg/m³
**Relative energy among the computed polymorphs**: 0.000 eV per atom
**Electronic total energy**: -66.69 eV per cell
**Total moment**: 0.00 Bohr magnetons per cell

---

11.
VASP calculation (PBE) on an optimized crystal structure of AlReH6.

Geometry as CIF:
```
data_AlReH6
_chemical_formula_sum 'Al4 Re4 H24'
_symmetry_space_group_name_H-M 'C 1 2/c 1'
_symmetry_Int_Tables_number 15
_symmetry_space_group_name_Hall '-C 2yc'
_cell_length_a 6.005
_cell_length_b 5.011
_cell_length_c 7.706
_cell_angle_alpha 90.00
_cell_angle_beta 92.97
_cell_angle_gamma 90.00
loop_
_atom_site_label
_atom_site_fract_x
_atom_site_fract_y
_atom_site_fract_z
Al1 0.000 0.031 0.250
Re1 0.250 0.250 0.500
H1 0.018 0.390 0.379
H2 0.171 0.266 0.716
H3 0.177 0.086 0.972
```

**Density**: 6288 kg/m³
**Electronic total energy**: -135.93 eV per cell
**Total moment**: 5.44 Bohr magnetons per cell

---

12.
VASP calculation (PBE) on an optimized crystal structure of BaTiIn3.

Geometry as CIF:
```
data_BaTiIn3
_chemical_formula_sum 'Ba1 Ti1 In3'
_symmetry_space_group_name_H-M 'P m -3 m'
_symmetry_Int_Tables_number 221
_symmetry_space_group_name_Hall '-P 4 2 3'
_cell_length_a 5.418
_cell_length_b 5.418
_cell_length_c 5.418
_cell_angle_alpha 90.00
_cell_angle_beta 90.00
_cell_angle_gamma 90.00
loop_
_atom_site_label
_atom_site_fract_x
_atom_site_fract_y
_atom_site_fract_z
Ba1 0.000 0.000 0.000
Ti1 0.500 0.500 0.500
In1 0.000 0.500 0.500
```

**E_form**: -0.109 eV per atom
**Density**: 5531 kg/m³
**Relative energy among the computed polymorphs**: 0.000 eV per atom
**Electronic total energy**: -18.58 eV per cell
**Total moment**: 1.11 Bohr magnetons per cell

---

13.
VASP calculation (PBE) on an optimized crystal structure of Hg5HPd6.

Geometry as CIF:
```
data_Hg5HPd6
_chemical_formula_sum 'Hg5 H1 Pd6'
_symmetry_space_group_name_H-M 'P -1'
_symmetry_Int_Tables_number 2
_symmetry_space_group_name_Hall '-P 1'
_cell_length_a 4.285
_cell_length_b 6.265
_cell_length_c 7.968
_cell_angle_alpha 79.10
_cell_angle_beta 74.70
_cell_angle_gamma 89.86
loop_
_atom_site_label
_atom_site_fract_x
_atom_site_fract_y
_atom_site_fract_z
Hg1 0.000 0.000 0.000
Hg2 0.286 0.347 0.429
Hg3 0.361 0.832 0.279
H1 0.000 0.500 0.000
Pd1 0.101 0.440 0.798
Pd2 0.177 0.911 0.646
Pd3 0.461 0.278 0.076
```

**Density**: 13477 kg/m³
**Electronic total energy**: -36.98 eV per cell
**Total moment**: 0.00 Bohr magnetons per cell

---

14.
VASP calculation (PBE) on an optimized crystal structure of HoAlSiPt3.

Geometry as CIF:
```
data_HoAlSiPt3
_chemical_formula_sum 'Ho4 Al4 Si4 Pt12'
_symmetry_space_group_name_H-M 'C m c m'
_symmetry_Int_Tables_number 63
_symmetry_space_group_name_Hall '-C 2c 2'
_cell_length_a 6.874
_cell_length_b 11.768
_cell_length_c 5.518
_cell_angle_alpha 90.00
_cell_angle_beta 90.00
_cell_angle_gamma 90.00
loop_
_atom_site_label
_atom_site_fract_x
_atom_site_fract_y
_atom_site_fract_z
Ho1 0.000 0.201 0.250
Al1 0.000 0.458 0.250
Si1 0.000 0.125 0.750
Pt1 0.000 0.321 0.750
Pt2 0.206 0.000 0.000
```

**Uncorrected formation energy**: -0.869 eV per atom
**Density**: 11982 kg/m³
**Electronic total energy**: -148.31 eV per cell
**Total moment**: 0.00 Bohr magnetons per cell

---

15.
VASP calculation (PBE) on an optimized crystal structure of Tb3Er12Th.

Geometry as CIF:
```
data_Tb3Er12Th
_chemical_formula_sum 'Tb3 Er12 Th1'
_symmetry_space_group_name_H-M 'P 4/m m m'
_symmetry_Int_Tables_number 123
_symmetry_space_group_name_Hall '-P 4 2'
_cell_length_a 4.984
_cell_length_b 4.984
_cell_length_c 19.901
_cell_angle_alpha 90.00
_cell_angle_beta 90.00
_cell_angle_gamma 90.00
loop_
_atom_site_label
_atom_site_fract_x
_atom_site_fract_y
_atom_site_fract_z
Tb1 0.000 0.000 0.000
Tb2 0.000 0.000 0.250
Er1 0.000 0.500 0.125
Er2 0.000 0.500 0.376
Er3 0.500 0.500 0.000
Er4 0.500 0.500 0.249
Er5 0.500 0.500 0.500
Th1 0.000 0.000 0.500
```

**E_form**: 0.025 eV per atom
**Density**: 9122 kg/m³
**Electronic total energy**: -75.67 eV per cell
**Total moment**: 0.00 Bohr magnetons per cell